Entry from the Alexandria database: a relaxed Y2HfBPb crystal (PBE).

Cell lengths 5.014, 5.014, 4.699 Å; angles 90.00, 90.00, 90.00 degrees
Sites, in units of the cell vectors:
Hf 0.000 0.000 0.500
Pb 0.500 0.500 0.500
Y 0.500 0.000 0.000
Y 0.000 0.500 0.000
B 0.000 0.000 0.000

The value obtained for the formation energy is -0.35 eV/atom.

=====

Entry from the Alexandria database: a relaxed Nd2TmIn2Ag2 crystal (PBE).

Cell lengths 4.848, 4.848, 9.545 Å; angles 75.29, 75.29, 60.00 degrees
Sites, in units of the cell vectors:
Ag 0.388 0.388 0.835
Ag 0.612 0.612 0.165
Nd 0.875 0.875 0.376
Nd 0.125 0.125 0.624
In 0.265 0.265 0.205
In 0.735 0.735 0.795
Tm 0.000 0.000 0.000

The value obtained for the formation energy is -0.29 eV/atom.

=====

Entry from the Alexandria database: a relaxed K3La3AlS8 crystal (PBE).

Cell lengths 8.281, 8.289, 8.892 Å; angles 117.83, 90.00, 119.96 degrees
Sites, in units of the cell vectors:
K 0.000 0.000 0.000
K 0.000 0.500 0.000
K 0.500 0.500 0.000
La 0.000 0.500 0.500
La 0.500 0.000 0.500
La 0.500 0.500 0.500
Al 0.000 0.000 0.500
S 0.792 0.584 0.314
S 0.230 0.022 0.314
S 0.792 0.022 0.314
S 0.208 0.416 0.686
S 0.770 0.978 0.686
S 0.263 0.526 0.290
S 0.208 0.978 0.686
S 0.737 0.474 0.710

The value obtained for the raw formation energy is -1.570 eV per atom.

=====

Entry from the Alexandria database: a relaxed NpIN2 crystal (PBE).

Cell lengths 3.455, 3.455, 9.574 Å; angles 79.60, 79.60, 60.00 degrees
Sites, in units of the cell vectors:
N 0.303 0.303 0.090
N 0.697 0.697 0.910
I 0.500 0.500 0.500
Np 0.000 0.000 0.000

The value obtained for the raw formation energy is -0.418 eV per atom.

=====

Entry from the Alexandria database: a relaxed LaYSc2 crystal (PBE).

Cell lengths 3.510, 4.784, 6.945 Å; angles 90.00, 90.00, 90.00 degrees
Sites, in units of the cell vectors:
Sc 0.500 0.500 0.241
Sc 0.000 0.000 0.015
La 0.500 0.500 0.759
Y 0.000 0.000 0.486

The value obtained for the formation energy is 0.08 eV/atom.

=====

Entry from the Alexandria database: a relaxed SrGdInAg crystal (PBE).

Cell lengths 5.462, 5.462, 5.462 Å; angles 60.00, 60.00, 60.00 degrees
Sites, in units of the cell vectors:
Sr 0.500 0.500 0.500
Gd 0.000 0.000 0.000
In 0.250 0.250 0.250
Ag 0.750 0.750 0.750

The value obtained for the formation energy is -0.32 eV/atom.

=====

Entry from the Alexandria database: a relaxed Na3HSe crystal (PBE).

Cell lengths 4.539, 4.539, 4.539 Å; angles 90.00, 90.00, 90.00 degrees
Sites, in units of the cell vectors:
Na 0.000 0.000 0.500
Na 0.000 0.500 0.000
Na 0.500 0.000 0.000
Se 0.500 0.500 0.500
H 0.000 0.000 0.000

=====

Entry from the Alexandria database: a relaxed Tb3YF crystal (PBE).

Cell lengths 5.057, 5.057, 5.057 Å; angles 90.00, 90.00, 90.00 degrees
Sites, in units of the cell vectors:
Tb 0.000 0.000 0.500
Tb 0.000 0.500 0.000
Tb 0.500 0.000 0.000
F 0.000 0.000 0.000
Y 0.500 0.500 0.500

The value obtained for the raw formation energy is -0.940 eV per atom.

=====

Entry from the Alexandria database: a relaxed KCoCu2Br crystal (PBE).

Cell lengths 4.663, 5.158, 4.663 Å; angles 90.00, 90.00, 90.00 degrees
Sites, in units of the cell vectors:
Co 0.000 0.000 0.000
Br 0.000 0.500 0.000
Cu 0.000 0.000 0.500
Cu 0.500 0.000 0.000
K 0.500 0.500 0.500

The value obtained for the raw formation energy is 0.326 eV per atom.

=====

Entry from the Alexandria database: a relaxed Th2Co3As4Ru crystal (PBE).

Cell lengths 4.198, 4.198, 9.548 Å; angles 90.00, 90.00, 90.00 degrees
Sites, in units of the cell vectors:
Co 0.000 0.500 0.112
Co 0.000 0.000 0.500
Co 0.500 0.000 0.888
As 0.000 0.000 0.000
As 0.000 0.500 0.359
As 0.500 0.000 0.641
As 0.500 0.500 0.000
Ru 0.500 0.500 0.500
Th 0.500 0.000 0.247
Th 0.000 0.500 0.753

The value obtained for the formation energy is -0.80 eV/atom.

=====

Entry from the Alexandria database: a relaxed Hg2IrBr crystal (PBE).

Cell lengths 3.306, 3.306, 7.972 Å; angles 90.00, 90.00, 90.01 degrees
Sites, in units of the cell vectors:
Hg 0.000 0.000 0.043
Hg 0.000 0.000 0.457
Br 0.500 0.500 0.750
Ir 0.500 0.500 0.250

The value obtained for the raw formation energy is 0.428 eV per atom.

=====

Entry from the Alexandria database: a relaxed TbPmEu crystal (PBE).

Cell lengths 3.691, 3.691, 8.232 Å; angles 102.95, 102.95, 90.00 degrees
Sites, in units of the cell vectors:
Tb 0.674 0.674 0.347
Pm 0.325 0.325 0.651
Eu 0.001 0.001 0.002

The value obtained for the formation energy is 0.04 eV/atom.

=====

Entry from the Alexandria database: a relaxed Tm3SnHg2 crystal (PBE).

Cell lengths 3.700, 5.205, 15.697 Å; angles 90.00, 90.00, 90.00 degrees
Sites, in units of the cell vectors:
Sn 0.001 0.000 0.000
Sn 0.999 0.500 0.500
Tm 0.500 0.500 0.333
Tm 0.500 0.000 0.167
Tm 0.501 0.500 0.000
Tm 0.499 0.000 0.500
Tm 0.500 0.000 0.833
Tm 0.500 0.500 0.667
Hg 0.000 0.500 0.173
Hg 0.000 0.000 0.673
Hg 0.000 0.000 0.327
Hg 0.000 0.500 0.827

The value obtained for the formation energy is -0.51 eV/atom.

=====

Entry from the Alexandria database: a relaxed Ti2Si2Pd crystal (PBE).

Cell lengths 3.786, 4.991, 4.991 Å; angles 63.71, 67.71, 67.71 degrees
Sites, in units of the cell vectors:
Si 0.500 0.719 0.281
Si 0.500 0.281 0.719
Ti 0.199 0.301 0.301
Ti 0.801 0.699 0.699
Pd 0.000 0.000 0.000

The value obtained for the raw formation energy is -0.737 eV per atom.

=====

Entry from the Alexandria database: a relaxed AcSm2Te crystal (PBE).

Cell lengths 4.058, 4.058, 10.443 Å; angles 78.76, 78.76, 59.96 degrees
Sites, in units of the cell vectors:
Te 0.667 0.667 0.000
Ac 0.500 0.500 0.501
Sm 0.067 0.067 0.798
Sm 0.266 0.266 0.202

The value obtained for the raw formation energy is -0.577 eV per atom.

=====

Entry from the Alexandria database: a relaxed Nb2GeAs2 crystal (PBE).

Cell lengths 2.732, 2.732, 13.768 Å; angles 90.00, 90.00, 90.00 degrees
Sites, in units of the cell vectors:
Ge 0.500 0.500 0.000
Nb 0.500 0.500 0.192
Nb 0.500 0.500 0.808
As 0.500 0.500 0.615
As 0.500 0.500 0.385

The value obtained for the formation energy is 0.44 eV/atom.

=====

Entry from the Alexandria database: a relaxed Pr6P2RhS3 crystal (PBE).

Cell lengths 4.140, 8.394, 9.304 Å; angles 102.96, 102.86, 90.00 degrees
Sites, in units of the cell vectors:
S 0.169 0.833 0.337
S 0.831 0.167 0.663
S 0.500 0.500 0.000
Pr 0.999 0.752 0.997
Pr 0.001 0.248 0.003
Pr 0.669 0.581 0.338
Pr 0.331 0.419 0.662
Pr 0.336 0.912 0.671
Pr 0.664 0.088 0.329
Rh 0.500 0.000 0.000
P 0.834 0.665 0.667
P 0.166 0.335 0.333

The value obtained for the raw formation energy is -1.618 eV per atom.

=====

Entry from the Alexandria database: a relaxed SmPaNi2 crystal (PBE).

Cell lengths 4.286, 6.275, 6.804 Å; angles 122.77, 90.00, 90.00 degrees
Sites, in units of the cell vectors:
Pa 0.250 0.194 0.598
Pa 0.750 0.806 0.402
Sm 0.250 0.229 0.115
Sm 0.750 0.771 0.885
Ni 0.250 0.668 0.558
Ni 0.750 0.332 0.442
Ni 0.750 0.332 0.890
Ni 0.250 0.668 0.110

The value obtained for the formation energy is -0.30 eV/atom.

=====

Entry from the Alexandria database: a relaxed KGaGe2O crystal (PBE).

Cell lengths 5.666, 4.357, 5.666 Å; angles 90.00, 90.00, 90.00 degrees
Sites, in units of the cell vectors:
Ge 0.500 0.000 0.000
Ge 0.000 0.000 0.500
K 0.000 0.000 0.000
Ga 0.500 0.500 0.500
O 0.000 0.500 0.000

The value obtained for the raw formation energy is 1.105 eV per atom.

=====

Entry from the Alexandria database: a relaxed Cs2Ba2Na crystal (PBE).

Cell lengths 9.931, 9.931, 7.700 Å; angles 90.00, 90.00, 90.00 degrees
Sites, in units of the cell vectors:
Na 0.000 0.000 0.000
Na 0.500 0.500 0.000
Ba 0.325 0.175 0.500
Ba 0.825 0.325 0.500
Ba 0.175 0.675 0.500
Ba 0.675 0.825 0.500
Cs 0.144 0.356 0.000
Cs 0.356 0.856 0.000
Cs 0.644 0.144 0.000
Cs 0.856 0.644 0.000

The value obtained for the formation energy is 0.26 eV/atom.

=====

Final energy in eV/atom, matching the order above: -7.002 -3.885 -5.226 -8.203 -5.936 -5.659 -2.851 -5.385 -3.288 -7.198 -2.356 -6.509 -3.515 -7.103 -4.749 -6.373 -6.554 -6.745 -2.558 -1.116